Record 1
## Ce4CBr2O (PBE)

Data for a relaxed structure of Ce4CBr2O.

Results
- uncorrected formation energy (eV per atom) = -1.41
- symmetry = P2/m, No. 10
- crystal system = monoclinic

POSCAR file:
```
Ce4CBr2O
1.0
3.679 0.000 0.000
0.000 6.332 0.104
0.000 -2.254 7.368
Ce C Br O
4 1 2 1
Cartesian
1.840 1.027 1.381
1.840 3.051 6.091
0.000 -0.127 6.030
0.000 4.205 1.442
1.840 3.166 0.052
1.840 -1.127 3.684
0.000 2.039 3.736
0.000 0.000 0.000
```



Record 2
## HfMnGa2P (PBE)

Data for a relaxed structure of HfMnGa2P.

Results
- symmetry = P4/mmm, No. 123
- ΔE_f (meV/atom) = 393
- crystal system = tetragonal

POSCAR file:
```
HfMnGa2P
1.0
-3.377 3.194 0.047
-2.853 -2.982 -2.408
-1.580 -1.730 4.015
P Mn Hf Ga
1 1 1 2
Cartesian
-3.905 -0.759 0.827
0.000 0.000 0.000
-1.427 -1.491 -1.204
-0.790 -0.865 2.007
-1.689 1.597 0.024
```



Record 3
## K2NaAuO (PBE)

Data for a relaxed structure of K2NaAuO.

Results
- uncorrected formation energy (eV per atom) = -0.78
- symmetry = P4/mmm, No. 123
- crystal system = tetragonal

POSCAR file:
```
K2NaAuO
1.0
-4.026 0.776 -3.539
2.714 -2.858 -3.715
-2.010 -3.798 1.453
Na K Au O
1 2 1 1
Cartesian
-1.005 -1.899 0.727
1.357 -1.429 -1.857
-2.013 0.388 -1.770
-1.661 -2.940 -2.900
0.000 0.000 0.000
```



Record 4
## RbTm2Cu2Se4 (PBE)

Data for a relaxed structure of RbTm2Cu2Se4.

Results
- uncorrected formation energy (eV per atom) = -1.06
- symmetry = C2/m, No. 12
- crystal system = monoclinic

POSCAR file:
```
RbTm2Cu2Se4
1.0
3.753 0.000 0.000
-1.877 9.132 -1.704
0.000 -4.809 7.942
Rb Tm Cu Se
1 2 2 4
Cartesian
0.000 0.000 0.000
1.877 5.288 1.609
0.000 -0.965 4.629
0.000 5.515 -0.798
1.877 -1.191 7.036
1.877 0.972 5.473
0.000 3.352 0.766
0.000 7.497 0.750
1.877 -3.173 5.489
```



Record 5
## Mg2ZrTcPb (PBE)

Data for a relaxed structure of Mg2ZrTcPb.

Results
- symmetry = P4/mmm, No. 123
- ΔE_f (meV/atom) = 407
- crystal system = tetragonal

POSCAR file:
```
Mg2ZrTcPb
1.0
5.138 0.000 0.000
0.000 4.825 0.000
0.000 0.000 5.138
Pb Mg Tc Zr
1 2 1 1
Cartesian
2.569 2.413 2.569
0.000 0.000 2.569
2.569 0.000 0.000
0.000 0.000 0.000
0.000 2.413 0.000
```



Record 6
## NdNpPbO6 (PBE)

Data for a relaxed structure of NdNpPbO6.

Results
- uncorrected formation energy (eV per atom) = -2.48
- symmetry = P-31c, No. 163
- crystal system = trigonal

POSCAR file:
```
NdNpPbO6
1.0
6.028 0.000 0.000
-3.014 5.220 0.000
0.000 0.000 9.855
Nd Np Pb O
2 2 2 12
Cartesian
0.000 3.480 2.464
3.014 1.740 7.391
3.014 1.740 2.464
0.000 3.480 7.391
0.000 0.000 0.000
0.000 0.000 4.927
2.101 3.200 1.384
4.735 1.801 1.384
-0.808 5.001 6.311
-1.721 3.419 8.471
1.293 1.801 3.544
3.927 3.200 3.544
0.808 5.001 8.471
3.822 0.219 3.544
-0.913 2.020 6.311
2.206 0.219 1.384
1.721 3.419 6.311
0.913 2.020 8.471
```



Record 7
## CdMoOs2 (PBE)

Data for a relaxed structure of CdMoOs2.

Results
- symmetry = Cmm2, No. 35
- ΔE_f (meV/atom) = 578
- crystal system = orthorhombic

POSCAR file:
```
CdMoOs2
1.0
-2.481 1.149 0.162
0.762 -0.886 -2.477
-3.860 -8.598 1.889
Cd Mo Os
1 1 2
Cartesian
-1.919 -4.274 0.939
-3.819 -6.461 0.291
-0.001 -0.001 0.000
-1.770 -1.897 -0.712
```



Record 8
## Sr4BiRh (PBE)

Data for a relaxed structure of Sr4BiRh.

Results
- symmetry = C2/c, No. 15
- ΔE_f (meV/atom) = -476
- crystal system = monoclinic

POSCAR file:
```
Sr4BiRh
1.0
-4.232 5.291 1.290
-2.831 -6.369 5.754
8.256 3.069 1.603
Sr Bi Rh
8 2 2
Cartesian
6.495 1.450 2.691
0.078 1.673 6.219
3.895 0.335 5.639
1.243 -2.040 6.978
-0.050 4.031 1.668
-2.702 1.655 3.008
1.115 0.318 2.427
-5.302 0.541 5.955
-1.209 -1.185 4.571
2.402 3.175 4.076
4.366 -1.978 7.678
-3.173 3.968 0.968
```



In the order shown, the computed VASP energy values come out to -6.56, -5.72, -3.13, -4.62, -4.76, -8.16, -7.97, -3.47 eV/atom.